# MgSn2Rh2, optimized geometry, DFT PBE
data_MgSn2Rh2
_symmetry_space_group_name_H-M 'P 4/m b m'
_symmetry_Int_Tables_number 127
_symmetry_space_group_name_Hall '-P 4 2ab'
_cell_length_a 7.694
_cell_length_b 7.694
_cell_length_c 3.129
_cell_angle_alpha 90.00
_cell_angle_beta 90.00
_cell_angle_gamma 90.00
loop_
_atom_site_label
_atom_site_type_symbol
_atom_site_fract_x
_atom_site_fract_y
_atom_site_fract_z
_atom_site_occupancy
Mg1 Mg 0.000 0.000 0.000 1
Sn1 Sn 0.144 0.356 0.000 1
Rh1 Rh 0.153 0.653 0.500 1
# energy of formation: -0.339 eV per atom
# calculated volume: 185.23 Å³ per cell
# magnetization: 0.00 μB/atom
# D(E_F): 8.13 states/eV/cell

# MgSn2Rh2, optimized geometry, DFT PBE
data_MgSn2Rh2
_symmetry_space_group_name_H-M 'P 4/m b m'
_symmetry_Int_Tables_number 127
_symmetry_space_group_name_Hall '-P 4 2ab'
_cell_length_a 7.284
_cell_length_b 7.284
_cell_length_c 3.477
_cell_angle_alpha 90.00
_cell_angle_beta 90.00
_cell_angle_gamma 90.00
loop_
_atom_site_label
_atom_site_type_symbol
_atom_site_fract_x
_atom_site_fract_y
_atom_site_fract_z
_atom_site_occupancy
Mg1 Mg 0.000 0.000 0.000 1
Sn1 Sn 0.154 0.346 0.500 1
Rh1 Rh 0.144 0.644 0.000 1
# energy of formation: -0.458 eV per atom
# calculated volume: 184.45 Å³ per cell
# magnetization: 0.00 μB/atom
# D(E_F): 3.57 states/eV/cell

# Mg3SnRh, optimized geometry, DFT PBE
data_Mg3SnRh
_symmetry_space_group_name_H-M 'P m -3 m'
_symmetry_Int_Tables_number 221
_symmetry_space_group_name_Hall '-P 4 2 3'
_cell_length_a 4.936
_cell_length_b 4.936
_cell_length_c 4.936
_cell_angle_alpha 90.00
_cell_angle_beta 90.00
_cell_angle_gamma 90.00
loop_
_atom_site_label
_atom_site_type_symbol
_atom_site_fract_x
_atom_site_fract_y
_atom_site_fract_z
_atom_site_occupancy
Mg1 Mg 0.000 0.000 0.500 1
Sn1 Sn 0.500 0.500 0.500 1
Rh1 Rh 0.000 0.000 0.000 1
# energy of formation: -0.026 eV per atom
# calculated volume: 120.27 Å³ per cell
# magnetization: 0.00 μB/atom
# D(E_F): 2.97 states/eV/cell
# distance to the lowest polymorph of the same formula: 0.365 eV/atom

# Mg7SnRh2, optimized geometry, DFT PBE
data_Mg7SnRh2
_symmetry_space_group_name_H-M 'C m m m'
_symmetry_Int_Tables_number 65
_symmetry_space_group_name_Hall '-C 2 2'
_cell_length_a 8.063
_cell_length_b 12.492
_cell_length_c 4.930
_cell_angle_alpha 90.00
_cell_angle_beta 90.00
_cell_angle_gamma 90.00
loop_
_atom_site_label
_atom_site_type_symbol
_atom_site_fract_x
_atom_site_fract_y
_atom_site_fract_z
_atom_site_occupancy
Mg1 Mg 0.000 0.000 0.000 1
Mg2 Mg 0.000 0.215 0.500 1
Mg3 Mg 0.192 0.369 0.000 1
Sn1 Sn 0.000 0.500 0.500 1
Rh1 Rh 0.000 0.202 0.000 1
# energy of formation: -0.092 eV per atom
# calculated volume: 496.64 Å³ per cell
# magnetization: 0.00 μB/atom
# D(E_F): 6.11 states/eV/cell

> Look up the D(E_F) of the first one.

8.13 states/eV/cell

> What is the calculated volume in the second record?

184.45 Å³ per cell